(1)
Entry from the Alexandria database: Tm3NbTl3S8 after structural relaxation (PBE).

The formation energy from raw total energies is -1.3464 eV per atom.

It has space group R-3m (No. 166, hexagonal axes), with a = 7.7158 Å, b = 7.7158 Å, c = 22.9062 Å, α = 90.00°, β = 90.00° and γ = 120.00°. The distinct sites, in fractional coordinates, are Tm at (0.0000, 0.5000, 0.0000), Nb at (0.0000, 0.0000, 0.0000), Tl at (0.0000, 0.5000, 0.5000), S at (0.0000, 0.0000, 0.2679) and S at (0.0196, 0.5098, 0.7299).


(2)
Entry from the Alexandria database: AlSbTe2O after structural relaxation (PBE).

The formation energy from raw total energies is 0.1649 eV per atom.

It has space group P4/mmm (No. 123), with a = 4.833 Å, b = 4.833 Å, c = 4.881 Å, α = 90.00°, β = 90.00° and γ = 90.00°. The distinct sites, in fractional coordinates, are Al at (0.000, 0.000, 0.000), Sb at (0.500, 0.500, 0.000), Te at (0.000, 0.500, 0.500) and O at (0.500, 0.500, 0.500).


(3)
Entry from the Alexandria database: Pr3Cu2Ni3 after structural relaxation (PBE).

The formation energy is -0.22 eV/atom.

It has space group Pnma (No. 62), with a = 7.439 Å, b = 15.132 Å, c = 5.621 Å, α = 90.00°, β = 90.00° and γ = 90.00°. The distinct sites, in fractional coordinates, are Pr at (0.030, 0.103, 0.141), Pr at (0.166, 0.250, 0.618), Cu at (0.126, 0.606, 0.361), Ni at (0.168, 0.034, 0.584) and Ni at (0.188, 0.750, 0.606).


(4)
Entry from the Alexandria database: Ac2AlB12Os3 after structural relaxation (PBE).

The formation energy is 0.77 eV/atom.

It has space group R-3m (No. 166, hexagonal axes), with a = 8.2358 Å, b = 8.2358 Å, c = 15.1064 Å, α = 90.00°, β = 90.00° and γ = 120.00°. The distinct sites, in fractional coordinates, are Ac at (0.0000, 0.0000, 0.1557), Al at (0.0000, 0.0000, 0.5000), B at (0.0570, 0.5285, 0.1414), B at (0.0744, 0.1489, 0.6626) and Os at (0.0000, 0.5000, 0.0000).


(5)
Entry from the Alexandria database: Na2Si2Se5 after structural relaxation (PBE).

The formation energy from raw total energies is -0.7379 eV per atom.

It has space group Cmcm (No. 63), with a = 13.434 Å, b = 13.558 Å, c = 11.090 Å, α = 90.00°, β = 90.00° and γ = 90.00°. The distinct sites, in fractional coordinates, are Na at (0.149, 0.000, 0.000), Na at (0.171, 0.253, 0.250), Si at (0.000, 0.254, 0.584), Si at (0.136, 0.448, 0.750), Se at (0.000, 0.151, 0.750), Se at (0.000, 0.159, 0.081), Se at (0.000, 0.450, 0.250), Se at (0.144, 0.349, 0.579) and Se at (0.228, 0.042, 0.750).


(6)
Entry from the Alexandria database: Cu3HPd after structural relaxation (PBE).

The value obtained for the total DFT energy (no corrections) is -4.158 eV/atom.

It has space group P1 (No. 1), with a = 2.741 Å, b = 4.506 Å, c = 8.855 Å, α = 90.23°, β = 98.82° and γ = 90.10°. The distinct sites, in fractional coordinates, are Cu at (0.000, 0.000, 0.000), Cu at (0.121, 0.354, 0.237), Cu at (0.247, 0.703, 0.496), Cu at (0.619, 0.853, 0.236), Cu at (0.746, 0.202, 0.495), Cu at (0.867, 0.558, 0.732), H at (0.182, 0.024, 0.356), H at (0.689, 0.531, 0.375), Pd at (0.373, 0.055, 0.744) and Pd at (0.495, 0.502, 0.988).


(7)
Entry from the Alexandria database: LiH6N2F after structural relaxation (PBE).

The value obtained for the total DFT energy (no corrections) is -4.864 eV/atom.

It has space group C2/c (No. 15), with a = 8.711 Å, b = 7.588 Å, c = 5.686 Å, α = 90.00°, β = 114.71° and γ = 90.00°. The distinct sites, in fractional coordinates, are Li at (0.000, 0.072, 0.250), H at (0.119, 0.227, 0.621), H at (0.189, 0.142, 0.915), H at (0.205, 0.387, 0.260), N at (0.173, 0.116, 0.729) and F at (0.000, 0.312, 0.250).


(8)
Entry from the Alexandria database: NpGaSiGe after structural relaxation (PBE).

The formation energy from raw total energies is -0.2174 eV per atom.

It has space group Pmmm (No. 47), with a = 4.009 Å, b = 4.226 Å, c = 4.290 Å, α = 90.00°, β = 90.00° and γ = 90.00°. The distinct sites, in fractional coordinates, are Np at (0.000, 0.000, 0.000), Ga at (0.000, 0.500, 0.500), Si at (0.500, 0.500, 0.000) and Ge at (0.500, 0.000, 0.500).


(9)
Entry from the Alexandria database: NaAlCd3 after structural relaxation (PBE).

The formation energy is 0.19 eV/atom.

It has space group Pm-3m (No. 221), with a = 5.300 Å, b = 5.300 Å, c = 5.300 Å, α = 90.00°, β = 90.00° and γ = 90.00°. The distinct sites, in fractional coordinates, are Na at (0.000, 0.000, 0.000), Al at (0.500, 0.500, 0.500) and Cd at (0.000, 0.500, 0.500).


| no. | theoretical density (g cm⁻³) |
| --- | --- |
| 1 | 6.20 |
| 2 | 6.12 |
| 3 | 7.62 |
| 4 | 6.63 |
| 5 | 3.27 |
| 6 | 9.16 |
| 7 | 1.17 |
| 8 | 9.31 |
| 9 | 4.32 |